The following is a DFT calculation (PBE+U) of a geometry-optimized TlNiSnF6 structure.

Cell: 5.6911 5.6911 11.8440 Å, 90.00 90.00 120.00°
With the nearest neighbours (Å) after each atom.
Space group P-31c (No. 163)
Symmetry-distinct sites (fractional):
Tl (0.0000, 0.0000, 0.0000) (multiplicity 2)  6 F 2.82
Ni (0.3333, 0.6667, 0.2500) (multiplicity 2)  6 F 2.05
Sn (0.3333, 0.6667, 0.7500) (multiplicity 2)  6 F 2.19
F (0.0184, 0.3872, 0.1539) (multiplicity 12)  1 Ni 2.05, 1 Sn 2.19

Computed properties:
Magnetic moment: 2.88 μB/f.u.
VASP energy: -78.67 eV/cell